(1)
Ag12Pd7Au: optimized geometry, PBE.

CIF file:
```
data_Ag12Pd7Au
_cell_length_a 12.0726
_cell_length_b 12.0726
_cell_length_c 8.3812
_cell_angle_alpha 90.00
_cell_angle_beta 90.00
_cell_angle_gamma 120.00
_space_group_name_H-M_alt 'R -3'
_space_group_IT_number 148
_space_group_name_Hall '-R 3'
loop_
_atom_site_label
_atom_site_type_symbol
_atom_site_fract_x
_atom_site_fract_y
_atom_site_fract_z
_atom_site_occupancy
Ag1 Ag 0.0474 0.1984 0.2483 1
Ag2 Ag 0.0467 0.2452 0.5764 1
Pd1 Pd 0.0000 0.0000 0.5000 1
Pd2 Pd 0.0662 0.2478 0.9231 1
Au1 Au 0.0000 0.0000 0.0000 1
```

Summary:
Its total magnetization is 0.000 Bohr magnetons per cell. As for the formation energy from the elements: 38 meV per atom. The value obtained for the energy is -3.65 eV/atom.

(2)
La9Ho4Tm: optimized geometry, PBE.

CIF file:
```
data_La9Ho4Tm
_cell_length_a 10.0350
_cell_length_b 10.0350
_cell_length_c 11.5135
_cell_angle_alpha 90.00
_cell_angle_beta 90.00
_cell_angle_gamma 120.00
_space_group_name_H-M_alt 'P 63/m m c'
_space_group_IT_number 194
_space_group_name_Hall '-P 6c 2c'
loop_
_atom_site_label
_atom_site_type_symbol
_atom_site_fract_x
_atom_site_fract_y
_atom_site_fract_z
_atom_site_occupancy
La1 La 0.0772 0.5386 0.2500 1
La2 La 0.2074 0.4148 0.5290 1
Ho1 Ho 0.0000 0.0000 0.0000 1
Ho2 Ho 0.1094 0.2189 0.2500 1
Tm1 Tm 0.3333 0.6667 0.7500 1
```

Summary:
Its total magnetization is 0.000 Bohr magnetons per cell. As for the formation energy from the elements: 145 meV per atom. The value obtained for the energy is -4.65 eV/atom.

(3)
La3InB2Rh9: optimized geometry, PBE.

CIF file:
```
data_La3InB2Rh9
_cell_length_a 5.9217
_cell_length_b 5.9217
_cell_length_c 8.9180
_cell_angle_alpha 90.00
_cell_angle_beta 90.00
_cell_angle_gamma 120.00
_space_group_name_H-M_alt 'P -3 m 1'
_space_group_IT_number 164
_space_group_name_Hall '-P 3 2"'
loop_
_atom_site_label
_atom_site_type_symbol
_atom_site_fract_x
_atom_site_fract_y
_atom_site_fract_z
_atom_site_occupancy
La1 La 0.0000 0.0000 0.0000 1
La2 La 0.3333 0.6667 0.6624 1
In1 In 0.0000 0.0000 0.5000 1
B1 B 0.3333 0.6667 0.1422 1
Rh1 Rh 0.0000 0.5000 0.0000 1
Rh2 Rh 0.1661 0.3323 0.2702 1
```

Summary:
Its total magnetization is 0.000 Bohr magnetons per cell. As for the formation energy from the elements: -541 meV per atom. The value obtained for the energy is -7.01 eV/atom.

(4)
KTe2Rh: optimized geometry, PBE.

CIF file:
```
data_KTe2Rh
_cell_length_a 4.664
_cell_length_b 4.512
_cell_length_c 13.273
_cell_angle_alpha 90.00
_cell_angle_beta 90.00
_cell_angle_gamma 90.00
_space_group_name_H-M_alt 'A m m 2'
_space_group_IT_number 38
_space_group_name_Hall 'A 2 -2'
loop_
_atom_site_label
_atom_site_type_symbol
_atom_site_fract_x
_atom_site_fract_y
_atom_site_fract_z
_atom_site_occupancy
K1 K 0.000 0.000 0.000 1
Te1 Te 0.000 0.000 0.709 1
Te2 Te 0.500 0.000 0.378 1
Rh1 Rh 0.500 0.000 0.786 1
```

Summary:
Its total magnetization is 0.000 Bohr magnetons per cell. The value obtained for the energy is -4.08 eV/atom.

(5)
PSe3S: optimized geometry, PBE.

CIF file:
```
data_PSe3S
_cell_length_a 6.157
_cell_length_b 7.040
_cell_length_c 7.316
_cell_angle_alpha 114.25
_cell_angle_beta 98.51
_cell_angle_gamma 93.77
_space_group_name_H-M_alt 'P 1'
_space_group_IT_number 1
_space_group_name_Hall 'P 1'
loop_
_atom_site_label
_atom_site_type_symbol
_atom_site_fract_x
_atom_site_fract_y
_atom_site_fract_z
_atom_site_occupancy
P1 P 0.000 0.000 0.000 1
P2 P 0.477 0.996 0.008 1
Se1 Se 0.175 0.871 0.692 1
Se2 Se 0.222 0.755 0.062 1
Se3 Se 0.287 0.280 0.169 1
Se4 Se 0.678 0.650 0.854 1
Se5 Se 0.731 0.186 0.899 1
Se6 Se 0.786 0.048 0.297 1
S1 S 0.207 0.116 0.595 1
S2 S 0.752 0.697 0.176 1
```

Summary:
The value obtained for the energy above the most stable polymorph in this dataset is 0.0 kJ/mol of atoms. Its total magnetization is 0.000 Bohr magnetons per cell. The value obtained for the energy is -3.79 eV/atom.

(6)
GdMgAl2: optimized geometry, PBE.

CIF file:
```
data_GdMgAl2
_cell_length_a 4.427
_cell_length_b 4.427
_cell_length_c 4.348
_cell_angle_alpha 90.00
_cell_angle_beta 90.00
_cell_angle_gamma 90.00
_space_group_name_H-M_alt 'P 4/m m m'
_space_group_IT_number 123
_space_group_name_Hall '-P 4 2'
loop_
_atom_site_label
_atom_site_type_symbol
_atom_site_fract_x
_atom_site_fract_y
_atom_site_fract_z
_atom_site_occupancy
Gd1 Gd 0.000 0.000 0.000 1
Mg1 Mg 0.500 0.500 0.000 1
Al1 Al 0.000 0.500 0.500 1
```

Summary:
The value obtained for the energy above the most stable polymorph in this dataset is 0.0 kJ/mol of atoms. Its total magnetization is 7.210 Bohr magnetons per cell. As for the formation energy from the elements: -313 meV per atom. The value obtained for the energy is -6.10 eV/atom.

(7)
Tm2In3Co: optimized geometry, PBE.

CIF file:
```
data_Tm2In3Co
_cell_length_a 3.538
_cell_length_b 4.740
_cell_length_c 8.180
_cell_angle_alpha 90.00
_cell_angle_beta 90.00
_cell_angle_gamma 90.00
_space_group_name_H-M_alt 'P m m 2'
_space_group_IT_number 25
_space_group_name_Hall 'P 2 -2'
loop_
_atom_site_label
_atom_site_type_symbol
_atom_site_fract_x
_atom_site_fract_y
_atom_site_fract_z
_atom_site_occupancy
Tm1 Tm 0.000 0.000 0.000 1
Tm2 Tm 0.000 0.500 0.433 1
In1 In 0.500 0.000 0.592 1
In2 In 0.500 0.500 0.134 1
In3 In 0.500 0.500 0.786 1
Co1 Co 0.500 0.000 0.270 1
```

Summary:
Its total magnetization is 0.435 Bohr magnetons per cell. As for the formation energy from the elements: -282 meV per atom. The value obtained for the energy is -4.33 eV/atom.

Question: Which value of total magnetization does entry 3 give?
Answer: 0.000 Bohr magnetons per cell